[1]
Here is a relaxed CaLaRuAu crystal from the Alexandria database. Energies are from PBE.

a = 5.091 Å, b = 5.091 Å, c = 5.091 Å
α = 60.00°, β = 60.00°, γ = 60.00°
Element x y z (fractional)
Ru: 0.750 0.750 0.750
Ca: 0.000 0.000 0.000
Au: 0.250 0.250 0.250
La: 0.500 0.500 0.500

Computed properties:
E in eV/atom: -5.182
Energy of formation in eV/atom: -0.311

[2]
Here is a relaxed Li2ZnAu3 crystal from the Alexandria database. Energies are from PBE.

a = 5.453 Å, b = 5.062 Å, c = 7.472 Å
α = 94.24°, β = 111.40°, γ = 90.00°
Element x y z (fractional)
Li: 0.792 0.582 0.335
Li: 0.543 0.082 0.335
Li: 0.457 0.918 0.665
Li: 0.208 0.418 0.665
Zn: 0.872 0.750 0.000
Zn: 0.128 0.250 0.000
Au: 0.626 0.250 0.000
Au: 0.374 0.750 0.000
Au: 0.043 0.072 0.335
Au: 0.708 0.428 0.665
Au: 0.292 0.572 0.335
Au: 0.957 0.928 0.665

Computed properties:
E in eV/atom: -2.926
E above lowest polymorph in eV per atom: 0.017
Energy of formation in eV/atom: -0.437

[3]
Here is a relaxed LaPI2 crystal from the Alexandria database. Energies are from PBE.

a = 4.992 Å, b = 4.992 Å, c = 11.342 Å
α = 77.29°, β = 77.29°, γ = 90.00°
Element x y z (fractional)
I: 0.623 0.125 0.250
I: 0.127 0.625 0.250
I: 0.375 0.377 0.750
I: 0.875 0.873 0.750
P: 0.500 0.500 0.000
P: 0.250 0.750 0.500
La: 0.000 0.000 0.000
La: 0.750 0.250 0.500

Computed properties:
E in eV/atom: -3.749
E above lowest polymorph in eV per atom: 0.000

[4]
Here is a relaxed Li2CaCd2Pb2 crystal from the Alexandria database. Energies are from PBE.

a = 4.873 Å, b = 4.873 Å, c = 8.808 Å
α = 73.94°, β = 73.94°, γ = 60.00°
Element x y z (fractional)
Li: 0.142 0.142 0.575
Li: 0.858 0.858 0.425
Ca: 0.000 0.000 0.000
Cd: 0.559 0.559 0.322
Cd: 0.441 0.441 0.678
Pb: 0.735 0.735 0.794
Pb: 0.265 0.265 0.206

Computed properties:
E in eV/atom: -2.457
Energy of formation in eV/atom: -0.303

[5]
Here is a relaxed Pm4Pr9Hg11 crystal from the Alexandria database. Energies are from PBE.

a = 3.682 Å, b = 14.212 Å, c = 14.212 Å
α = 111.31°, β = 90.00°, γ = 90.00°
Element x y z (fractional)
Pm: 0.500 0.563 0.745
Pm: 0.500 0.437 0.255
Pm: 0.500 0.745 0.563
Pm: 0.500 0.255 0.437
Pr: 0.500 0.624 0.146
Pr: 0.500 0.376 0.854
Pr: 0.500 0.146 0.624
Pr: 0.500 0.854 0.376
Pr: 0.500 0.794 0.967
Pr: 0.500 0.206 0.033
Pr: 0.500 0.967 0.794
Pr: 0.500 0.033 0.206
Pr: 0.500 0.500 0.500
Hg: 0.000 0.587 0.943
Hg: 0.000 0.413 0.057
Hg: 0.000 0.943 0.587
Hg: 0.000 0.057 0.413
Hg: 0.000 0.635 0.365
Hg: 0.000 0.365 0.635
Hg: 0.000 0.828 0.172
Hg: 0.000 0.172 0.828
Hg: 0.000 0.000 0.000
Hg: 0.000 0.754 0.754
Hg: 0.000 0.246 0.246

Computed properties:
E in eV/atom: -3.109
Energy of formation in eV/atom: -0.387

[6]
Here is a relaxed BaCaMgTe2 crystal from the Alexandria database. Energies are from PBE.

a = 5.856 Å, b = 5.856 Å, c = 6.538 Å
α = 90.00°, β = 90.00°, γ = 90.00°
Element x y z (fractional)
Mg: 0.500 0.500 0.500
Ca: 0.000 0.000 0.000
Te: 0.000 0.500 0.000
Te: 0.500 0.000 0.000
Ba: 0.000 0.000 0.500

Computed properties:
E in eV/atom: -2.567

[7]
Here is a relaxed CrNiCl2 crystal from the Alexandria database. Energies are from PBE.

a = 3.826 Å, b = 3.826 Å, c = 6.664 Å
α = 90.00°, β = 90.00°, γ = 125.93°
Element x y z (fractional)
Ni: 0.500 0.500 0.750
Cl: 0.000 0.000 0.987
Cl: 0.000 0.000 0.513
Cr: 0.500 0.500 0.250

Computed properties:
E in eV/atom: -4.714
E above lowest polymorph in eV per atom: 0.350

[8]
Here is a relaxed InCoHg2 crystal from the Alexandria database. Energies are from PBE.

a = 9.310 Å, b = 9.310 Å, c = 9.310 Å
α = 20.10°, β = 20.10°, γ = 20.10°
Element x y z (fractional)
Co: 0.752 0.752 0.752
Hg: 0.013 0.013 0.013
Hg: 0.249 0.249 0.249
In: 0.487 0.487 0.487

Computed properties:
E in eV/atom: -2.297
Energy of formation in eV/atom: 0.315